[1]
Computed, not measured: a geometry-optimized TbHo2ErTh structure at the GGA-PBE level of DFT.

Values from the calculation:
density of states at the Fermi level: 6.31 states/eV/f.u.
SG: No. 13
raw total energy: -4.81 eV/atom
formation energy from the elements: 7.83 kcal/mol of atoms
V: 167.2 Å³/f.u.

```
TbHo2ErTh
1.0
8.4861 0.0000 0.0000
0.0000 6.3266 0.0000
-0.8097 0.0000 6.2292
Tb Ho Er Th
2 4 2 2
direct
0.0000 0.0000 0.0000 Tb
0.0000 0.0000 0.5000 Tb
0.3135 0.3054 0.2114 Ho
0.3135 0.6946 0.7114 Ho
0.6865 0.3054 0.2886 Ho
0.6865 0.6946 0.7886 Ho
0.5000 0.1799 0.7500 Er
0.5000 0.8201 0.2500 Er
0.0000 0.4481 0.7500 Th
0.0000 0.5519 0.2500 Th
```



[2]
Computed, not measured: a geometry-optimized Tb6Ho3Er2Th structure at the GGA-PBE level of DFT.

Values from the calculation:
density of states at the Fermi level: 15.48 states/eV/f.u.
SG: No. 12
raw total energy: -4.81 eV/atom
formation energy from the elements: 0.56 kcal/mol of atoms
V: 378.3 Å³/f.u.

```
Tb6Ho3Er2Th
1.0
3.0709 -5.3147 0.0000
3.0709 5.3147 0.0000
-2.0445 0.0000 11.5900
Tb Ho Er Th
6 3 2 1
direct
0.0838 0.4143 0.7495 Tb
0.2466 0.2466 0.2506 Tb
0.4143 0.0838 0.7495 Tb
0.5857 0.9162 0.2505 Tb
0.7534 0.7534 0.7494 Tb
0.9162 0.5857 0.2505 Tb
0.1673 0.8327 0.0000 Ho
0.5000 0.5000 0.0000 Ho
0.8327 0.1673 0.0000 Ho
0.3333 0.6667 0.5000 Er
0.6667 0.3333 0.5000 Er
0.0000 0.0000 0.5000 Th
```



[3]
Computed, not measured: a geometry-optimized Tb2Ho2Er2Th structure at the GGA-PBE level of DFT.

Values from the calculation:
density of states at the Fermi level: 10.18 states/eV/f.u.
SG: No. 12
raw total energy: -4.87 eV/atom
formation energy from the elements: 2.78 kcal/mol of atoms
V: 226.4 Å³/f.u.

```
Tb2Ho2Er2Th
1.0
17.4642 0.0000 0.0000
0.0000 3.4986 0.0000
-3.6205 0.0000 7.4096
Tb Ho Er Th
4 4 4 2
direct
0.1441 0.0000 0.3883 Tb
0.3559 0.5000 0.6117 Tb
0.6441 0.5000 0.3883 Tb
0.8559 0.0000 0.6117 Tb
0.0708 0.0000 0.8997 Ho
0.4292 0.5000 0.1003 Ho
0.5708 0.5000 0.8997 Ho
0.9292 0.0000 0.1003 Ho
0.2119 0.5000 0.7947 Er
0.2881 0.0000 0.2053 Er
0.7119 0.0000 0.7947 Er
0.7881 0.5000 0.2053 Er
0.0000 0.5000 0.5000 Th
0.5000 0.0000 0.5000 Th
```



[4]
Computed, not measured: a geometry-optimized Tb2Ho6ErTh structure at the GGA-PBE level of DFT.

Values from the calculation:
density of states at the Fermi level: 14.10 states/eV/f.u.
SG: No. 15
raw total energy: -4.72 eV/atom
formation energy from the elements: 3.49 kcal/mol of atoms
V: 318.0 Å³/f.u.

```
Tb2Ho6ErTh
1.0
4.5937 -7.4663 0.0000
4.5937 7.4663 0.0000
-0.8581 0.0000 9.2712
Tb Ho Er Th
4 12 2 2
direct
0.1953 0.2985 0.4463 Tb
0.2985 0.1953 0.9463 Tb
0.7015 0.8047 0.0537 Tb
0.8047 0.7015 0.5537 Tb
0.0163 0.7886 0.8883 Ho
0.0690 0.5134 0.6859 Ho
0.2114 0.9837 0.6117 Ho
0.2644 0.6225 0.0597 Ho
0.3775 0.7356 0.4403 Ho
0.4866 0.9310 0.8141 Ho
0.5134 0.0690 0.1859 Ho
0.6225 0.2644 0.5597 Ho
0.7356 0.3775 0.9403 Ho
0.7886 0.0163 0.3883 Ho
0.9310 0.4866 0.3141 Ho
0.9837 0.2114 0.1117 Ho
0.0888 0.9112 0.2500 Er
0.9112 0.0888 0.7500 Er
0.4670 0.5330 0.7500 Th
0.5330 0.4670 0.2500 Th
```



[5]
Computed, not measured: a geometry-optimized Tb2HoEr6Th structure at the GGA-PBE level of DFT.

Values from the calculation:
density of states at the Fermi level: 13.82 states/eV/f.u.
SG: No. 15
raw total energy: -4.71 eV/atom
formation energy from the elements: 3.50 kcal/mol of atoms
V: 315.9 Å³/f.u.

```
Tb2HoEr6Th
1.0
4.5925 -7.4860 0.0000
4.5925 7.4860 0.0000
-0.7464 0.0000 9.1882
Tb Ho Er Th
4 2 12 2
direct
0.1932 0.2988 0.4449 Tb
0.2988 0.1932 0.9449 Tb
0.7012 0.8068 0.0551 Tb
0.8068 0.7012 0.5551 Tb
0.0870 0.9130 0.2500 Ho
0.9130 0.0870 0.7500 Ho
0.0177 0.7860 0.8907 Er
0.0679 0.5124 0.6865 Er
0.2140 0.9823 0.6093 Er
0.2667 0.6236 0.0603 Er
0.3764 0.7333 0.4397 Er
0.4876 0.9321 0.8135 Er
0.5124 0.0679 0.1865 Er
0.6236 0.2667 0.5603 Er
0.7333 0.3764 0.9397 Er
0.7860 0.0177 0.3907 Er
0.9321 0.4876 0.3135 Er
0.9823 0.2140 0.1093 Er
0.4655 0.5345 0.7500 Th
0.5345 0.4655 0.2500 Th
```



[6]
Computed, not measured: a geometry-optimized Tb2HoEr5Th structure at the GGA-PBE level of DFT.

Values from the calculation:
density of states at the Fermi level: 13.13 states/eV/f.u.
SG: No. 36
raw total energy: -4.73 eV/atom
formation energy from the elements: 3.82 kcal/mol of atoms
V: 291.6 Å³/f.u.

```
Tb2HoEr5Th
1.0
2.8253 -10.6827 0.0000
2.8253 10.6827 0.0000
0.0000 0.0000 9.6628
Tb Ho Er Th
4 2 10 2
direct
0.1147 0.8853 0.5000 Tb
0.1303 0.8697 0.8832 Tb
0.8697 0.1303 0.3832 Tb
0.8853 0.1147 0.0000 Tb
0.1911 0.8089 0.1898 Ho
0.8089 0.1911 0.6898 Ho
0.0145 0.9855 0.1905 Er
0.2702 0.7298 0.4996 Er
0.3053 0.6947 0.8903 Er
0.3970 0.6030 0.2133 Er
0.4697 0.5303 0.9141 Er
0.5303 0.4697 0.4141 Er
0.6030 0.3970 0.7133 Er
0.6947 0.3053 0.3903 Er
0.7298 0.2702 0.9996 Er
0.9855 0.0145 0.6905 Er
0.4047 0.5953 0.5961 Th
0.5953 0.4047 0.0961 Th
```



[7]
Computed, not measured: a geometry-optimized TbHo3Er6Th2 structure at the GGA-PBE level of DFT.

Values from the calculation:
density of states at the Fermi level: 16.63 states/eV/f.u.
SG: No. 12
raw total energy: -5.02 eV/atom
formation energy from the elements: 0.58 kcal/mol of atoms
V: 372.8 Å³/f.u.

```
TbHo3Er6Th2
1.0
3.0627 -5.2999 0.0000
3.0627 5.2999 0.0000
-2.0424 0.0000 11.4836
Tb Ho Er Th
1 3 6 2
direct
0.0000 0.0000 0.0000 Tb
0.1663 0.8337 0.5000 Ho
0.5000 0.5000 0.5000 Ho
0.8337 0.1663 0.5000 Ho
0.0832 0.4201 0.2487 Er
0.2541 0.2541 0.7511 Er
0.4201 0.0832 0.2487 Er
0.5799 0.9168 0.7513 Er
0.7459 0.7459 0.2489 Er
0.9168 0.5799 0.7513 Er
0.3333 0.6667 0.0000 Th
0.6667 0.3333 0.0000 Th
```



[8]
Computed, not measured: a geometry-optimized TbHoErTh2 structure at the GGA-PBE level of DFT.

Values from the calculation:
density of states at the Fermi level: 6.85 states/eV/f.u.
SG: No. 63
raw total energy: -5.31 eV/atom
formation energy from the elements: 9.47 kcal/mol of atoms
V: 171.2 Å³/f.u.

```
TbHoErTh2
1.0
3.3179 -7.7717 0.0000
3.3179 7.7717 0.0000
0.0000 0.0000 6.6376
Tb Ho Er Th
2 2 2 4
direct
0.2479 0.7521 0.7500 Tb
0.7521 0.2479 0.2500 Tb
0.1521 0.8479 0.2500 Ho
0.8479 0.1521 0.7500 Ho
0.3485 0.6515 0.2500 Er
0.6515 0.3485 0.7500 Er
0.2498 0.2498 0.0000 Th
0.2498 0.2498 0.5000 Th
0.7502 0.7502 0.0000 Th
0.7502 0.7502 0.5000 Th
```



[9]
Computed, not measured: a geometry-optimized Tb3Ho2Er6Th structure at the GGA-PBE level of DFT.

Values from the calculation:
density of states at the Fermi level: 15.50 states/eV/f.u.
SG: No. 12
raw total energy: -4.80 eV/atom
formation energy from the elements: 0.50 kcal/mol of atoms
V: 373.2 Å³/f.u.

```
Tb3Ho2Er6Th
1.0
3.0607 -5.2976 0.0000
3.0607 5.2976 0.0000
-2.0428 0.0000 11.5092
Tb Ho Er Th
3 2 6 1
direct
0.0000 0.0000 0.0000 Tb
0.3326 0.6674 0.0000 Tb
0.6674 0.3326 0.0000 Tb
0.1667 0.8333 0.5000 Ho
0.8333 0.1667 0.5000 Ho
0.0865 0.4167 0.2510 Er
0.2532 0.2532 0.7489 Er
0.4167 0.0865 0.2510 Er
0.5833 0.9135 0.7490 Er
0.7468 0.7468 0.2511 Er
0.9135 0.5833 0.7490 Er
0.5000 0.5000 0.5000 Th
```



[10]
Computed, not measured: a geometry-optimized Tb6Ho2Er3Th structure at the GGA-PBE level of DFT.

Values from the calculation:
density of states at the Fermi level: 15.61 states/eV/f.u.
SG: No. 12
raw total energy: -4.81 eV/atom
formation energy from the elements: 0.59 kcal/mol of atoms
V: 377.8 Å³/f.u.

```
Tb6Ho2Er3Th
1.0
3.0700 -5.3135 0.0000
3.0700 5.3135 0.0000
-2.0423 0.0000 11.5797
Tb Ho Er Th
6 2 3 1
direct
0.0837 0.4142 0.7501 Tb
0.2466 0.2466 0.2499 Tb
0.4142 0.0837 0.7501 Tb
0.5858 0.9163 0.2499 Tb
0.7534 0.7534 0.7501 Tb
0.9163 0.5858 0.2499 Tb
0.3333 0.6667 0.5000 Ho
0.6667 0.3333 0.5000 Ho
0.1672 0.8328 0.0000 Er
0.5000 0.5000 0.0000 Er
0.8328 0.1672 0.0000 Er
0.0000 0.0000 0.5000 Th
```



[11]
Computed, not measured: a geometry-optimized Tb6Ho3ErTh2 structure at the GGA-PBE level of DFT.

Values from the calculation:
density of states at the Fermi level: 16.61 states/eV/f.u.
SG: No. 12
raw total energy: -5.05 eV/atom
formation energy from the elements: 0.59 kcal/mol of atoms
V: 380.2 Å³/f.u.

```
Tb6Ho3ErTh2
1.0
3.0771 -5.3248 0.0000
3.0771 5.3248 0.0000
-2.0530 0.0000 11.6035
Tb Ho Er Th
6 3 1 2
direct
0.0808 0.4167 0.7516 Tb
0.2470 0.2470 0.2487 Tb
0.4167 0.0808 0.7516 Tb
0.5833 0.9192 0.2484 Tb
0.7530 0.7530 0.7513 Tb
0.9192 0.5833 0.2484 Tb
0.0000 0.0000 0.5000 Ho
0.3335 0.6665 0.5000 Ho
0.6665 0.3335 0.5000 Ho
0.5000 0.5000 0.0000 Er
0.1665 0.8335 0.0000 Th
0.8335 0.1665 0.0000 Th
```



[12]
Computed, not measured: a geometry-optimized TbHo2Er5Th structure at the GGA-PBE level of DFT.

Values from the calculation:
density of states at the Fermi level: 12.66 states/eV/f.u.
SG: No. 36
raw total energy: -4.73 eV/atom
formation energy from the elements: 3.83 kcal/mol of atoms
V: 290.7 Å³/f.u.

```
TbHo2Er5Th
1.0
2.8258 -10.6729 0.0000
2.8258 10.6729 0.0000
0.0000 0.0000 9.6389
Tb Ho Er Th
2 4 10 2
direct
0.1907 0.8093 0.5000 Tb
0.8093 0.1907 0.0000 Tb
0.1151 0.8849 0.1889 Ho
0.1301 0.8699 0.8070 Ho
0.8699 0.1301 0.3070 Ho
0.8849 0.1151 0.6889 Ho
0.0143 0.9857 0.4991 Er
0.2709 0.7291 0.1925 Er
0.3053 0.6947 0.8008 Er
0.3979 0.6021 0.4770 Er
0.4691 0.5309 0.7767 Er
0.5309 0.4691 0.2767 Er
0.6021 0.3979 0.9770 Er
0.6947 0.3053 0.3008 Er
0.7291 0.2709 0.6925 Er
0.9857 0.0143 0.9991 Er
0.4056 0.5944 0.0958 Th
0.5944 0.4056 0.5958 Th
```



[13]
Computed, not measured: a geometry-optimized Tb2HoEr2Th2 structure at the GGA-PBE level of DFT.

Values from the calculation:
density of states at the Fermi level: 10.36 states/eV/f.u.
SG: No. 12
raw total energy: -5.34 eV/atom
formation energy from the elements: 1.28 kcal/mol of atoms
V: 221.3 Å³/f.u.

```
Tb2HoEr2Th2
1.0
16.6001 0.0000 0.0000
0.0000 3.4960 0.0000
-4.2914 0.0000 7.6249
Tb Ho Er Th
4 2 4 4
direct
0.2075 0.0000 0.2891 Tb
0.2925 0.5000 0.7109 Tb
0.7075 0.5000 0.2891 Tb
0.7925 0.0000 0.7109 Tb
0.0000 0.5000 0.0000 Ho
0.5000 0.0000 0.0000 Ho
0.0674 0.5000 0.4222 Er
0.4326 0.0000 0.5778 Er
0.5674 0.0000 0.4222 Er
0.9326 0.5000 0.5778 Er
0.1446 0.0000 0.8400 Th
0.3554 0.5000 0.1600 Th
0.6446 0.5000 0.8400 Th
0.8554 0.0000 0.1600 Th
```



[14]
Computed, not measured: a geometry-optimized Tb2Ho5ErTh structure at the GGA-PBE level of DFT.

Values from the calculation:
density of states at the Fermi level: 13.02 states/eV/f.u.
SG: No. 36
raw total energy: -4.74 eV/atom
formation energy from the elements: 3.78 kcal/mol of atoms
V: 293.5 Å³/f.u.

```
Tb2Ho5ErTh
1.0
2.8333 -10.7201 0.0000
2.8333 10.7201 0.0000
0.0000 0.0000 9.6637
Tb Ho Er Th
4 10 2 2
direct
0.1149 0.8851 0.5000 Tb
0.1303 0.8697 0.8830 Tb
0.8697 0.1303 0.3830 Tb
0.8851 0.1149 0.0000 Tb
0.0145 0.9855 0.1897 Ho
0.2703 0.7297 0.4990 Ho
0.3050 0.6950 0.8905 Ho
0.3972 0.6028 0.2142 Ho
0.4696 0.5304 0.9152 Ho
0.5304 0.4696 0.4152 Ho
0.6028 0.3972 0.7142 Ho
0.6950 0.3050 0.3905 Ho
0.7297 0.2703 0.9990 Ho
0.9855 0.0145 0.6897 Ho
0.1904 0.8096 0.1896 Er
0.8096 0.1904 0.6896 Er
0.4043 0.5957 0.5964 Th
0.5957 0.4043 0.0964 Th
```



[15]
Computed, not measured: a geometry-optimized TbHo3ErTh structure at the GGA-PBE level of DFT.

Values from the calculation:
density of states at the Fermi level: 8.38 states/eV/f.u.
SG: No. 11
raw total energy: -5.03 eV/atom
formation energy from the elements: 0.53 kcal/mol of atoms
V: 188.1 Å³/f.u.

```
TbHo3ErTh
1.0
10.5946 0.0000 0.0000
0.0000 3.5489 0.0000
-3.4974 0.0000 10.0055
Tb Ho Er Th
2 6 2 2
direct
0.2083 0.2500 0.3753 Tb
0.7917 0.7500 0.6247 Tb
0.0422 0.2500 0.8739 Ho
0.2932 0.7500 0.1217 Ho
0.4577 0.7500 0.6274 Ho
0.5423 0.2500 0.3726 Ho
0.7068 0.2500 0.8783 Ho
0.9578 0.7500 0.1261 Ho
0.1254 0.7500 0.6267 Er
0.8746 0.2500 0.3733 Er
0.3763 0.2500 0.8747 Th
0.6237 0.7500 0.1253 Th
```



[16]
Computed, not measured: a geometry-optimized TbHo6Er2Th3 structure at the GGA-PBE level of DFT.

Values from the calculation:
density of states at the Fermi level: 17.79 states/eV/f.u.
SG: No. 12
raw total energy: -5.27 eV/atom
formation energy from the elements: 0.54 kcal/mol of atoms
V: 376.0 Å³/f.u.

```
TbHo6Er2Th3
1.0
3.0746 -5.3228 0.0000
3.0746 5.3228 0.0000
-2.0519 0.0000 11.4875
Tb Ho Er Th
1 6 2 3
direct
0.0000 0.0000 0.0000 Tb
0.0842 0.4178 0.2529 Ho
0.2493 0.2493 0.7470 Ho
0.4178 0.0842 0.2529 Ho
0.5822 0.9158 0.7471 Ho
0.7507 0.7507 0.2530 Ho
0.9158 0.5822 0.7471 Ho
0.3333 0.6667 0.0000 Er
0.6667 0.3333 0.0000 Er
0.1666 0.8334 0.5000 Th
0.5000 0.5000 0.5000 Th
0.8334 0.1666 0.5000 Th
```



[17]
Computed, not measured: a geometry-optimized Tb3HoEr6Th2 structure at the GGA-PBE level of DFT.

Values from the calculation:
density of states at the Fermi level: 15.76 states/eV/f.u.
SG: No. 12
raw total energy: -5.04 eV/atom
formation energy from the elements: 0.48 kcal/mol of atoms
V: 374.2 Å³/f.u.

```
Tb3HoEr6Th2
1.0
3.0660 -5.3073 0.0000
3.0660 5.3073 0.0000
-2.0489 0.0000 11.4974
Tb Ho Er Th
3 1 6 2
direct
0.0000 0.0000 0.0000 Tb
0.3336 0.6664 0.0000 Tb
0.6664 0.3336 0.0000 Tb
0.5000 0.5000 0.5000 Ho
0.0805 0.4172 0.2524 Er
0.2460 0.2460 0.7480 Er
0.4172 0.0805 0.2524 Er
0.5828 0.9195 0.7476 Er
0.7540 0.7540 0.2520 Er
0.9195 0.5828 0.7476 Er
0.1666 0.8334 0.5000 Th
0.8334 0.1666 0.5000 Th
```



[18]
Computed, not measured: a geometry-optimized Tb2Ho3Er6Th structure at the GGA-PBE level of DFT.

Values from the calculation:
density of states at the Fermi level: 15.81 states/eV/f.u.
SG: No. 12
raw total energy: -4.79 eV/atom
formation energy from the elements: 0.58 kcal/mol of atoms
V: 372.4 Å³/f.u.

```
Tb2Ho3Er6Th
1.0
3.0584 -5.2932 0.0000
3.0584 5.2932 0.0000
-2.0408 0.0000 11.5003
Tb Ho Er Th
2 3 6 1
direct
0.1667 0.8333 0.0000 Tb
0.8333 0.1667 0.0000 Tb
0.0000 0.0000 0.5000 Ho
0.3327 0.6673 0.5000 Ho
0.6673 0.3327 0.5000 Ho
0.0856 0.4158 0.7498 Er
0.2543 0.2543 0.2502 Er
0.4158 0.0856 0.7498 Er
0.5842 0.9144 0.2502 Er
0.7457 0.7457 0.7498 Er
0.9144 0.5842 0.2502 Er
0.5000 0.5000 0.0000 Th
```



[19]
Computed, not measured: a geometry-optimized Tb2Ho6Er3Tl structure at the GGA-PBE level of DFT.

Values from the calculation:
density of states at the Fermi level: 15.76 states/eV/f.u.
SG: No. 12
raw total energy: -4.42 eV/atom
formation energy from the elements: -0.38 kcal/mol of atoms
V: 362.5 Å³/f.u.

```
Tb2Ho6Er3Tl
1.0
3.0259 -5.2440 0.0000
3.0259 5.2440 0.0000
-2.0275 0.0000 11.4212
Tb Ho Er Tl
2 6 3 1
direct
0.1663 0.8337 0.0000 Tb
0.8337 0.1663 0.0000 Tb
0.0877 0.4175 0.7508 Ho
0.2532 0.2532 0.2503 Ho
0.4175 0.0877 0.7508 Ho
0.5825 0.9123 0.2492 Ho
0.7468 0.7468 0.7497 Ho
0.9123 0.5825 0.2492 Ho
0.0000 0.0000 0.5000 Er
0.3333 0.6667 0.5000 Er
0.6667 0.3333 0.5000 Er
0.5000 0.5000 0.0000 Tl
```



[20]
Computed, not measured: a geometry-optimized TbHoErTl structure at the GGA-PBE level of DFT.

Values from the calculation:
density of states at the Fermi level: 5.58 states/eV/f.u.
SG: No. 216
raw total energy: -4.06 eV/atom
formation energy from the elements: -0.67 kcal/mol of atoms
V: 114.5 Å³/f.u.

```
TbHoErTl
1.0
7.7076 0.0000 0.0000
0.0000 7.7076 0.0000
0.0000 0.0000 7.7076
Tb Ho Er Tl
4 4 4 4
direct
0.0000 0.0000 0.0000 Tb
0.0000 0.5000 0.5000 Tb
0.5000 0.0000 0.5000 Tb
0.5000 0.5000 0.0000 Tb
0.0000 0.0000 0.5000 Ho
0.0000 0.5000 0.0000 Ho
0.5000 0.0000 0.0000 Ho
0.5000 0.5000 0.5000 Ho
0.2500 0.2500 0.7500 Er
0.2500 0.7500 0.2500 Er
0.7500 0.2500 0.2500 Er
0.7500 0.7500 0.7500 Er
0.2500 0.2500 0.2500 Tl
0.2500 0.7500 0.7500 Tl
0.7500 0.2500 0.7500 Tl
0.7500 0.7500 0.2500 Tl
```